1.
A relaxed La2AlCd crystal, computed with PBE. Values from VASP.

Results
symmetry: P4mm, No. 99
DFT formation energy: -0.1087 eV per atom

```
&SYSTEM
  ibrav = 0, nat = 4, ntyp = 3
/
ATOMIC_SPECIES
Cd 112.41 Cd.upf
Al 26.98 Al.upf
La 138.91 La.upf
ATOMIC_POSITIONS crystal
Cd 0.500 0.500 0.707
Al 0.000 0.000 0.530
La 0.000 0.000 0.964
La 0.500 0.500 0.299
CELL_PARAMETERS angstrom
3.489 0.000 0.000
0.000 3.489 0.000
0.000 0.000 9.324
```


2.
A relaxed La4AlCd crystal, computed with PBE. Values from VASP.

Results
symmetry: P4/mmm, No. 123
DFT formation energy: -0.0231 eV per atom
energy relative to the lowest polymorph listed for this composition: 0.0 meV per atom

```
&SYSTEM
  ibrav = 0, nat = 6, ntyp = 3
/
ATOMIC_SPECIES
La 138.91 La.upf
Al 26.98 Al.upf
Cd 112.41 Cd.upf
ATOMIC_POSITIONS crystal
La 0.501 0.997 0.263
La 0.501 0.998 0.734
La 0.002 0.497 0.734
La 0.001 0.497 0.263
Al 0.001 0.997 0.498
Cd 0.501 0.497 0.998
CELL_PARAMETERS angstrom
5.354 0.000 -0.001
0.000 5.356 -0.001
0.005 0.007 7.469
```


3.
A relaxed LaAl2Cd2 crystal, computed with PBE. Values from VASP.

Results
symmetry: P4/mbm, No. 127
DFT formation energy: -0.0982 eV per atom

```
&SYSTEM
  ibrav = 0, nat = 10, ntyp = 3
/
ATOMIC_SPECIES
Cd 112.41 Cd.upf
Al 26.98 Al.upf
La 138.91 La.upf
ATOMIC_POSITIONS crystal
Cd 0.162 0.662 0.500
Cd 0.662 0.838 0.500
Cd 0.838 0.338 0.500
Cd 0.338 0.162 0.500
Al 0.369 0.869 0.000
Al 0.869 0.631 0.000
Al 0.631 0.131 0.000
Al 0.131 0.369 0.000
La 0.000 0.000 0.000
La 0.500 0.500 0.000
CELL_PARAMETERS angstrom
-3.111 5.299 -5.847
-7.538 -3.854 0.518
-0.867 2.002 2.275
```


4.
A relaxed La3Al3Cd crystal, computed with PBE. Values from VASP.

Results
symmetry: C2/m, No. 12
DFT formation energy: -0.3797 eV per atom

```
&SYSTEM
  ibrav = 0, nat = 14, ntyp = 3
/
ATOMIC_SPECIES
La 138.91 La.upf
Al 26.98 Al.upf
Cd 112.41 Cd.upf
ATOMIC_POSITIONS crystal
La 0.563 0.258 0.616
La 0.437 0.742 0.384
La 0.241 0.322 0.196
La 0.759 0.678 0.804
La 0.422 0.251 0.905
La 0.578 0.749 0.095
Al 0.881 0.688 0.549
Al 0.119 0.312 0.451
Al 0.113 0.830 0.943
Al 0.887 0.170 0.057
Al 0.933 0.901 0.233
Al 0.067 0.099 0.767
Cd 0.734 0.144 0.388
Cd 0.266 0.856 0.612
CELL_PARAMETERS angstrom
-2.434 -3.085 -2.868
-0.028 -5.755 2.088
-12.401 -0.578 7.021
```


5.
A relaxed La6Al2Cd crystal, computed with PBE. Values from VASP.

Results
symmetry: Immm, No. 71
DFT formation energy: -0.2103 eV per atom
energy relative to the lowest polymorph listed for this composition: 0.0 meV per atom

```
&SYSTEM
  ibrav = 0, nat = 18, ntyp = 3
/
ATOMIC_SPECIES
La 138.91 La.upf
Al 26.98 Al.upf
Cd 112.41 Cd.upf
ATOMIC_POSITIONS crystal
La 0.544 0.727 0.818
La 0.456 0.273 0.182
La 0.091 0.273 0.818
La 0.909 0.727 0.182
La 0.798 0.751 0.549
La 0.202 0.249 0.451
La 0.202 0.751 0.953
La 0.798 0.249 0.047
La 0.714 0.391 0.677
La 0.286 0.609 0.323
La 0.286 0.963 0.677
La 0.714 0.037 0.323
Al 0.500 0.380 0.880
Al 0.500 0.620 0.120
Al 0.636 0.000 0.636
Al 0.364 0.000 0.364
Cd 0.000 0.500 0.500
Cd 0.000 0.000 0.000
CELL_PARAMETERS angstrom
8.546 0.030 -3.241
-4.448 7.566 -2.552
-0.211 -0.030 9.137
```


6.
A relaxed La2AlCd crystal, computed with PBE. Values from VASP.

Results
symmetry: Pmm2, No. 25
DFT formation energy: -0.3345 eV per atom

```
&SYSTEM
  ibrav = 0, nat = 4, ntyp = 3
/
ATOMIC_SPECIES
Cd 112.41 Cd.upf
Al 26.98 Al.upf
La 138.91 La.upf
ATOMIC_POSITIONS crystal
Cd 0.500 0.625 0.808
Al 0.000 0.625 0.436
La 0.000 0.125 0.925
La 0.500 0.125 0.332
CELL_PARAMETERS angstrom
-3.718 -2.526 -2.827
0.573 -3.177 2.085
-3.887 1.674 3.618
```


7.
A relaxed La5Al4Cd crystal, computed with PBE. Values from VASP.

Results
symmetry: P4/mmm, No. 123
DFT formation energy: -0.3544 eV per atom

```
&SYSTEM
  ibrav = 0, nat = 10, ntyp = 3
/
ATOMIC_SPECIES
La 138.91 La.upf
Al 26.98 Al.upf
Cd 112.41 Cd.upf
ATOMIC_POSITIONS crystal
La 0.500 0.500 0.110
La 0.500 0.500 0.305
La 0.500 0.500 0.500
La 0.500 0.500 0.695
La 0.500 0.500 0.890
Al 0.000 0.000 0.206
Al 0.000 0.000 0.403
Al 0.000 0.000 0.597
Al 0.000 0.000 0.794
Cd 0.000 0.000 0.000
CELL_PARAMETERS angstrom
3.792 0.000 0.000
0.000 3.792 0.000
0.000 0.000 19.520
```


8.
A relaxed La4AlCd3 crystal, computed with PBE. Values from VASP.

Results
symmetry: R-3m, No. 166
DFT formation energy: -0.3322 eV per atom

```
&SYSTEM
  ibrav = 0, nat = 8, ntyp = 3
/
ATOMIC_SPECIES
Cd 112.41 Cd.upf
Al 26.98 Al.upf
La 138.91 La.upf
ATOMIC_POSITIONS crystal
Cd 0.248 0.248 0.256
Cd 0.752 0.752 0.744
Cd 0.500 0.500 0.500
Al 0.000 0.000 0.000
La 0.878 0.878 0.365
La 0.372 0.372 0.885
La 0.122 0.122 0.635
La 0.628 0.628 0.115
CELL_PARAMETERS angstrom
-3.896 3.899 0.141
-4.939 -0.954 -2.259
-5.923 -2.280 7.182
```


9.
A relaxed La2AlCd2 crystal, computed with PBE. Values from VASP.

Results
symmetry: P4/mbm, No. 127
DFT formation energy: -0.2726 eV per atom
energy relative to the lowest polymorph listed for this composition: 55.0 meV per atom

```
&SYSTEM
  ibrav = 0, nat = 10, ntyp = 3
/
ATOMIC_SPECIES
Cd 112.41 Cd.upf
Al 26.98 Al.upf
La 138.91 La.upf
ATOMIC_POSITIONS crystal
Cd 0.363 0.863 0.000
Cd 0.863 0.637 0.000
Cd 0.637 0.137 0.000
Cd 0.137 0.363 0.000
Al 0.000 0.000 0.000
Al 0.500 0.500 0.000
La 0.171 0.671 0.500
La 0.671 0.829 0.500
La 0.829 0.329 0.500
La 0.329 0.171 0.500
CELL_PARAMETERS angstrom
-2.937 1.555 -6.633
1.449 -6.915 -2.262
-4.556 -1.500 1.666
```


10.
A relaxed LaAlCd3 crystal, computed with PBE. Values from VASP.

Results
symmetry: Pm-3m, No. 221
DFT formation energy: 0.0669 eV per atom
energy relative to the lowest polymorph listed for this composition: 0.0 meV per atom

```
&SYSTEM
  ibrav = 0, nat = 5, ntyp = 3
/
ATOMIC_SPECIES
Cd 112.41 Cd.upf
Al 26.98 Al.upf
La 138.91 La.upf
ATOMIC_POSITIONS crystal
Cd 0.000 0.500 0.000
Cd 0.000 0.000 0.500
Cd 0.500 0.000 0.000
Al 0.000 0.000 0.000
La 0.500 0.500 0.500
CELL_PARAMETERS angstrom
-2.222 2.183 -4.093
-3.999 -3.201 0.463
-2.351 3.382 3.081
```


11.
A relaxed LiLa2AlCd6 crystal, computed with PBE. Values from VASP.

Results
symmetry: P-1, No. 2
DFT formation energy: -0.1350 eV per atom

```
&SYSTEM
  ibrav = 0, nat = 10, ntyp = 4
/
ATOMIC_SPECIES
Li 6.94 Li.upf
La 138.91 La.upf
Al 26.98 Al.upf
Cd 112.41 Cd.upf
ATOMIC_POSITIONS crystal
Li 0.500 0.500 0.000
La 0.285 0.714 0.573
La 0.715 0.286 0.427
Al 0.000 0.000 0.000
Cd 0.257 0.741 0.071
Cd 0.743 0.816 0.925
Cd 0.188 0.260 0.485
Cd 0.743 0.259 0.929
Cd 0.257 0.184 0.075
Cd 0.812 0.740 0.515
CELL_PARAMETERS angstrom
-1.997 -3.893 -5.868
-4.483 -3.456 3.841
-6.877 -0.536 -2.430
```


12.
A relaxed Li2LaAlCd crystal, computed with PBE. Values from VASP.

Results
symmetry: P4/mmm, No. 123
DFT formation energy: 0.0343 eV per atom

```
&SYSTEM
  ibrav = 0, nat = 5, ntyp = 4
/
ATOMIC_SPECIES
Cd 112.41 Cd.upf
Li 6.94 Li.upf
Al 26.98 Al.upf
La 138.91 La.upf
ATOMIC_POSITIONS crystal
Cd 0.000 0.000 0.000
Li 0.000 0.000 0.500
Li 0.500 0.000 0.000
Al 0.000 0.500 0.000
La 0.500 0.500 0.500
CELL_PARAMETERS angstrom
-1.368 -4.643 -0.965
4.597 -1.603 1.194
-1.414 -0.559 4.695
```


Computed DOS at the Fermi energy, in the same sequence as the records: 0.94; 1.62; 0.41; 0.74; 1.34; 1.11; 0.64; 1.34; 0.94; 0.89; 0.53; 0.61 states/eV/atom.
Computed total moment, in the same sequence as the records: 0.000; 0.000; 0.241; 0.000; 0.000; 0.000; 0.000; 0.001; 0.000; 0.000; 0.000; 0.000 μB/cell.